YTl2Ge2 | GGA-PBE | optimized geometry

Output
Final energy (eV/atom): -4.127
Crystal system: tetragonal
Energy above the lowest structure with this stoichiometry (kJ/mol of formula units): 21
Calculated density (Mg/m³): 7.97

Geometry as POSCAR:
```
YTl2Ge2
1.0
-3.9788 -1.2827 -0.8269
0.4156 -3.1323 2.8594
-4.3234 2.2740 6.2949
Y Tl Ge
1 2 2
direct
0.0000 0.0000 0.0000
0.7500 0.2500 0.5000
0.2500 0.7500 0.5000
0.4170 0.4170 0.1660
0.5830 0.5830 0.8340
```